First-principles (GGA-PBE) data for a geometry-optimized Ca2MgZn4Ag3 structure, as listed in Alexandria via LeMat-Bulk.

Values from the calculation:
Calculated total energy ... -21.3 eV per cell
Space group ... P-4m2, No. 115
M_tot ... 0.00 μB per formula unit
ΔE_f ... -0.201 eV/atom

Unit cell a=4.105 b=4.105 c=12.490 alpha=90.00 beta=90.00 gamma=90.00
Element x y z (fractional)
Zn (0.500, 0.500, 0.000)
Zn (0.000, 0.000, 0.000)
Zn (0.000, 0.500, 0.350)
Zn (0.500, 0.000, 0.650)
Ag (0.000, 0.500, 0.141)
Ag (0.000, 0.000, 0.500)
Ag (0.500, 0.000, 0.859)
Ca (0.000, 0.500, 0.757)
Ca (0.500, 0.000, 0.243)
Mg (0.500, 0.500, 0.500)



First-principles (GGA-PBE) data for a geometry-optimized KLiRe2 structure, as listed in Alexandria via LeMat-Bulk.

Values from the calculation:
Calculated total energy ... -23.9 eV per cell
Space group ... C2/m, No. 12
Energy above the most stable polymorph in this dataset ... 387.6 meV/atom
M_tot ... 0.00 μB per formula unit
ΔE_f ... 1.005 eV/atom

Unit cell a=4.886 b=6.170 c=2.667 alpha=80.30 beta=83.08 gamma=111.71
Element x y z (fractional)
Li (0.500, 0.500, 0.000)
K (0.000, 0.500, 0.500)
Re (0.000, 0.000, 0.000)
Re (0.500, 0.000, 0.500)



First-principles (GGA-PBE) data for a geometry-optimized SbPbN2 structure, as listed in Alexandria via LeMat-Bulk.

Values from the calculation:
Calculated total energy ... -43.5 eV per cell
Space group ... I-42d, No. 122
Energy above the most stable polymorph in this dataset ... 188.2 meV/atom
E_form (uncorrected) ... 66 kJ per mole of atoms
M_tot ... 0.00 μB per formula unit

Unit cell a=5.852 b=5.852 c=6.112 alpha=61.40 beta=61.40 gamma=90.00
Element x y z (fractional)
Pb (0.750, 0.250, 0.500)
Pb (0.000, 0.000, 0.000)
N (0.546, 0.125, 0.250)
N (0.875, 0.796, 0.750)
N (0.204, 0.625, 0.250)
N (0.375, 0.454, 0.750)
Sb (0.250, 0.750, 0.500)
Sb (0.500, 0.500, 0.000)